DFT (PBE-GGA) results for crystalline ZnGaPd at its relaxed geometry.

Cell lengths 4.2184, 4.2184, 4.2184 Å; angles 60.00, 60.00, 60.00 degrees
Closest atoms and distances in Å follow each position.
Atoms (fractional coordinates):
Ga  0.2500  0.2500  0.2500  4 Pd 2.58
Pd  0.0000  0.0000  0.0000  4 Zn 2.58, 4 Ga 2.58
Zn  0.7500  0.7500  0.7500  4 Pd 2.58

DFT (PBE-GGA) results for crystalline ZnGaPd2 at its relaxed geometry.

Cell lengths 4.4009, 4.4009, 4.4009 Å; angles 60.00, 60.00, 60.00 degrees
Closest atoms and distances in Å follow each position.
Atoms (fractional coordinates):
Ga  0.5000  0.5000  0.5000  4 Zn 2.69-2.70, 4 Pd 2.69
Pd  0.0000  0.0000  0.0000  4 Pd 2.69, 4 Zn 2.69
Pd  0.7500  0.7500  0.7500  4 Pd 2.69, 4 Ga 2.69
Zn  0.2500  0.2500  0.2500  4 Pd 2.69, 4 Ga 2.69-2.70

DFT (PBE-GGA) results for crystalline ZnGaPd2 at its relaxed geometry.

Cell lengths 3.0248, 3.0248, 15.5304 Å; angles 90.00, 90.00, 120.00 degrees
Closest atoms and distances in Å follow each position.
Atoms (fractional coordinates):
Ga  0.6667  0.3333  0.2500  6 Pd 2.59
Ga  0.3333  0.6667  0.7500  6 Pd 2.59
Pd  0.3333  0.6667  0.1272  3 Ga 2.59, 3 Zn 2.64
Pd  0.3333  0.6667  0.3728  3 Ga 2.59, 3 Zn 2.64
Pd  0.6667  0.3333  0.6272  3 Ga 2.59, 3 Zn 2.64
Pd  0.6667  0.3333  0.8728  3 Ga 2.59, 3 Zn 2.64
Zn  0.0000  0.0000  0.0000  6 Pd 2.64
Zn  0.0000  0.0000  0.5000  6 Pd 2.64

DFT (PBE-GGA) results for crystalline Zn2GaPd at its relaxed geometry.

Cell lengths 4.3873, 4.3873, 4.3873 Å; angles 60.00, 60.00, 60.00 degrees
Closest atoms and distances in Å follow each position.
Atoms (fractional coordinates):
Ga  0.5000  0.5000  0.5000  4 Pd 2.69, 4 Zn 2.69
Pd  0.2500  0.2500  0.2500  4 Ga 2.69, 4 Zn 2.69
Zn  0.0000  0.0000  0.0000  4 Pd 2.69, 4 Zn 2.69
Zn  0.7500  0.7500  0.7500  4 Ga 2.69, 4 Zn 2.69

DFT (PBE-GGA) results for crystalline ZrZn2GaPd4 at its relaxed geometry.

Cell lengths 4.5262, 4.5262, 6.1522 Å; angles 90.00, 90.00, 90.00 degrees
Closest atoms and distances in Å follow each position.
Atoms (fractional coordinates):
Ga  0.0000  0.0000  0.5000  8 Pd 2.68
Pd  0.5000  0.0000  0.2656  2 Ga 2.68, 4 Zn 2.68-2.79, 2 Zr 2.79, 1 Pd 2.88
Pd  0.0000  0.5000  0.2656  4 Zn 2.68-2.79, 2 Ga 2.68, 2 Zr 2.79, 1 Pd 2.88
Pd  0.5000  0.0000  0.7344  2 Ga 2.68, 4 Zn 2.68-2.79, 2 Zr 2.79, 1 Pd 2.88
Pd  0.0000  0.5000  0.7344  4 Zn 2.68-2.79, 2 Ga 2.68, 2 Zr 2.79, 1 Pd 2.88
Zn  0.0000  0.0000  0.0000  8 Pd 2.79, 2 Ga 3.08
Zn  0.5000  0.5000  0.5000  8 Pd 2.68
Zr  0.5000  0.5000  0.0000  8 Pd 2.79, 2 Zn 3.08

The value obtained for the magnetic moment is 0.01 μB per formula unit.

DFT (PBE-GGA) results for crystalline Zr2GaPd at its relaxed geometry.

Cell lengths 4.7612, 4.7612, 4.7612 Å; angles 60.00, 60.00, 60.00 degrees
Closest atoms and distances in Å follow each position.
Atoms (fractional coordinates):
Ga  0.5000  0.5000  0.5000  4 Zr 2.92, 4 Pd 2.92
Pd  0.2500  0.2500  0.2500  4 Ga 2.92, 4 Zr 2.92
Zr  0.0000  0.0000  0.0000  4 Zr 2.92, 4 Pd 2.92
Zr  0.7500  0.7500  0.7500  4 Ga 2.92, 4 Zr 2.92

The value obtained for the magnetic moment is 3.00 μB per formula unit.

DFT (PBE-GGA) results for crystalline Zr6Ga16Pd7 at its relaxed geometry.

Cell lengths 8.8505, 8.8505, 8.8505 Å; angles 120.00, 90.00, 120.00 degrees
Closest atoms and distances in Å follow each position.
Atoms (fractional coordinates):
Ga  0.3438  0.6877  0.0315  3 Pd 2.57, 3 Zr 2.81, 3 Ga 2.83
Ga  0.3690  0.2460  0.1230  4 Pd 2.67-2.72, 3 Ga 2.83
Ga  0.8770  0.2460  0.1230  4 Pd 2.67-2.72, 3 Ga 2.83
Ga  0.8770  0.7540  0.1230  4 Pd 2.67-2.72, 3 Ga 2.83
Ga  0.6562  0.3123  0.3438  3 Pd 2.57, 3 Zr 2.81, 3 Ga 2.83
Ga  0.0315  0.6877  0.3438  3 Pd 2.57, 3 Zr 2.81, 3 Ga 2.83
Ga  0.6562  0.6877  0.3438  3 Pd 2.57, 3 Zr 2.81, 3 Ga 2.83
Ga  0.1230  0.2460  0.3690  4 Pd 2.67-2.72, 3 Ga 2.83
Ga  0.8770  0.7540  0.6310  4 Pd 2.67-2.72, 3 Ga 2.83
Ga  0.3438  0.3123  0.6562  3 Pd 2.57, 3 Zr 2.81, 3 Ga 2.83
Ga  0.9685  0.3123  0.6562  3 Pd 2.57, 3 Zr 2.81, 3 Ga 2.83
Ga  0.3438  0.6877  0.6562  3 Pd 2.57, 3 Zr 2.81, 3 Ga 2.83
Ga  0.1230  0.2460  0.8770  4 Pd 2.67-2.72, 3 Ga 2.83
Ga  0.1230  0.7540  0.8770  4 Pd 2.67-2.72, 3 Ga 2.83
Ga  0.6310  0.7540  0.8770  4 Pd 2.67-2.72, 3 Ga 2.83
Ga  0.6562  0.3123  0.9685  3 Pd 2.57, 3 Zr 2.81, 3 Ga 2.83
Pd  0.0000  0.0000  0.0000  8 Ga 2.67
Pd  0.5000  0.0000  0.0000  8 Ga 2.57-2.72
Pd  0.0000  0.5000  0.0000  8 Ga 2.57-2.72
Pd  0.5000  0.5000  0.0000  8 Ga 2.57-2.72
Pd  0.0000  0.0000  0.5000  8 Ga 2.57-2.72
Pd  0.0000  0.5000  0.5000  8 Ga 2.57-2.72
Pd  0.5000  0.5000  0.5000  8 Ga 2.57-2.72
Zr  0.6986  0.0000  0.3014  8 Ga 2.81-3.12
Zr  0.3014  0.0000  0.3014  8 Ga 2.81-3.12
Zr  0.3014  0.6029  0.3014  8 Ga 2.81-3.12
Zr  0.3014  0.0000  0.6986  8 Ga 2.81-3.12
Zr  0.6986  0.3971  0.6986  8 Ga 2.81-3.12
Zr  0.6986  0.0000  0.6986  8 Ga 2.81-3.12

The value obtained for the magnetic moment is 0.00 μB per formula unit.

DFT (PBE-GGA) results for crystalline Pm2Ga at its relaxed geometry.

Cell lengths 6.2769, 6.2769, 6.2769 Å; angles 60.00, 60.00, 60.00 degrees
Closest atoms and distances in Å follow each position.
Atoms (fractional coordinates):
Ga  0.0000  0.0000  0.0000  12 Pm 3.68, 4 Ga 3.84
Ga  0.2500  0.2500  0.2500  12 Pm 3.68, 4 Ga 3.84
Pm  0.6250  0.6250  0.1250  6 Pm 3.14
Pm  0.6250  0.1250  0.6250  6 Pm 3.14
Pm  0.1250  0.6250  0.6250  6 Pm 3.14
Pm  0.6250  0.6250  0.6250  6 Pm 3.14

The polymorph energy (0 for the lowest one) comes out at 0.000 eV per atom. The value obtained for the magnetic moment is 0.01 μB per formula unit.

DFT (PBE-GGA) results for crystalline PmGa2 at its relaxed geometry.

Cell lengths 5.6020, 5.6020, 5.6020 Å; angles 60.00, 60.00, 60.00 degrees
Closest atoms and distances in Å follow each position.
Atoms (fractional coordinates):
Ga  0.6250  0.6250  0.1250  6 Ga 2.80
Ga  0.6250  0.1250  0.6250  6 Ga 2.80
Ga  0.1250  0.6250  0.6250  6 Ga 2.80
Ga  0.6250  0.6250  0.6250  6 Ga 2.80
Pm  0.0000  0.0000  0.0000  12 Ga 3.28, 4 Pm 3.43
Pm  0.2500  0.2500  0.2500  12 Ga 3.28, 4 Pm 3.43

The polymorph energy (0 for the lowest one) comes out at 0.062 eV per atom. The value obtained for the magnetic moment is 0.01 μB per formula unit.

DFT (PBE-GGA) results for crystalline PmGa6 at its relaxed geometry.

Cell lengths 6.0074, 6.0074, 7.6356 Å; angles 90.00, 90.00, 90.00 degrees
Closest atoms and distances in Å follow each position.
Atoms (fractional coordinates):
Ga  0.0000  0.0000  0.1628  5 Ga 2.49-2.63
Ga  0.5000  0.5000  0.1628  5 Ga 2.49-2.63
Ga  0.6823  0.1823  0.3523  3 Ga 2.53-2.63
Ga  0.1823  0.3177  0.3523  3 Ga 2.53-2.63
Ga  0.8177  0.6823  0.3523  3 Ga 2.53-2.63
Ga  0.3177  0.8177  0.3523  3 Ga 2.53-2.63
Ga  0.3177  0.1823  0.6477  3 Ga 2.53-2.63
Ga  0.8177  0.3177  0.6477  3 Ga 2.53-2.63
Ga  0.1823  0.6823  0.6477  3 Ga 2.53-2.63
Ga  0.6823  0.8177  0.6477  3 Ga 2.53-2.63
Ga  0.0000  0.0000  0.8372  5 Ga 2.49-2.63
Ga  0.5000  0.5000  0.8372  5 Ga 2.49-2.63
Pm  0.5000  0.0000  0.0000  12 Ga 3.10-3.25
Pm  0.0000  0.5000  0.0000  12 Ga 3.10-3.25

The value obtained for the magnetic moment is 0.00 μB per formula unit.

DFT (PBE-GGA) results for crystalline Pm2Ga at its relaxed geometry.

Cell lengths 9.0256, 9.0256, 9.0256 Å; angles 60.00, 60.00, 60.00 degrees
Closest atoms and distances in Å follow each position.
Atoms (fractional coordinates):
Ga  0.2500  0.2500  0.2500  4 Pm 2.76
Ga  0.5000  0.5000  0.5000  4 Pm 2.76
Pm  0.3750  0.3750  0.3750  2 Ga 2.76
Pm  0.8750  0.3750  0.3750  2 Ga 2.76
Pm  0.3750  0.8750  0.3750  2 Ga 2.76
Pm  0.3750  0.3750  0.8750  2 Ga 2.76

The polymorph energy (0 for the lowest one) comes out at 0.905 eV per atom. The value obtained for the magnetic moment is 0.01 μB per formula unit.

DFT (PBE-GGA) results for crystalline PmGa2 at its relaxed geometry.

Cell lengths 9.7830, 9.7830, 9.7830 Å; angles 60.00, 60.00, 60.00 degrees
Closest atoms and distances in Å follow each position.
Atoms (fractional coordinates):
Ga  0.8750  0.3750  0.3750  2 Pm 3.00
Ga  0.3750  0.8750  0.3750  2 Pm 3.00
Ga  0.3750  0.3750  0.3750  2 Pm 3.00
Ga  0.3750  0.3750  0.8750  2 Pm 3.00
Pm  0.2500  0.2500  0.2500  4 Ga 3.00
Pm  0.5000  0.5000  0.5000  4 Ga 3.00

The polymorph energy (0 for the lowest one) comes out at 1.949 eV per atom. The value obtained for the magnetic moment is 3.85 μB per formula unit.

DFT (PBE-GGA) results for crystalline Pm3Ga4 at its relaxed geometry.

Cell lengths 9.8228, 9.8228, 9.8228 Å; angles 155.32, 154.35, 35.90 degrees
Closest atoms and distances in Å follow each position.
Atoms (fractional coordinates):
Ga  0.1429  0.1429  0.0000  2 Ga 2.55
Ga  0.8571  0.8571  0.0000  2 Ga 2.55
Ga  0.9341  0.4341  0.5000  3 Ga 2.46-2.55
Ga  0.0659  0.5659  0.5000  3 Ga 2.46-2.55
Pm  0.3159  0.3159  0.0000  7 Ga 3.10-3.23
Pm  0.6841  0.6841  0.0000  7 Ga 3.10-3.23
Pm  0.5000  0.0000  0.5000  12 Ga 3.27-3.45

The value obtained for the magnetic moment is 0.00 μB per formula unit.

DFT (PBE-GGA) results for crystalline PmGa2 at its relaxed geometry.

Cell lengths 5.9182, 5.9182, 5.9182 Å; angles 137.24, 105.81, 89.62 degrees
Closest atoms and distances in Å follow each position.
Atoms (fractional coordinates):
Ga  0.8935  0.8369  0.0566  4 Ga 2.60-2.86
Ga  0.2802  0.8369  0.4434  4 Ga 2.60-2.86
Ga  0.7198  0.1631  0.5566  4 Ga 2.60-2.86
Ga  0.1065  0.1631  0.9434  4 Ga 2.60-2.86
Pm  0.6892  0.4392  0.2500  10 Ga 3.18-3.19
Pm  0.3108  0.5608  0.7500  10 Ga 3.18-3.19

The polymorph energy (0 for the lowest one) comes out at 0.000 eV per atom. The value obtained for the magnetic moment is 0.02 μB per formula unit.

DFT (PBE-GGA) results for crystalline PmPrGa3 at its relaxed geometry.

Cell lengths 13.2682, 13.2682, 4.2485 Å; angles 90.00, 90.00, 161.03 degrees
Closest atoms and distances in Å follow each position.
Atoms (fractional coordinates):
Ga  0.8262  0.1738  0.2500  2 Ga 2.57
Ga  0.1189  0.8811  0.2500  3 Ga 2.49-2.57
Ga  0.0238  0.9762  0.2500  3 Ga 2.46-2.49
Ga  0.9762  0.0238  0.7500  3 Ga 2.46-2.49
Ga  0.8811  0.1189  0.7500  3 Ga 2.49-2.57
Ga  0.1738  0.8262  0.7500  2 Ga 2.57
Pm  0.7030  0.2970  0.2500  7 Ga 3.10-3.22
Pm  0.2970  0.7030  0.7500  7 Ga 3.10-3.22
Pr  0.4275  0.5725  0.2500  12 Ga 3.28-3.44
Pr  0.5725  0.4275  0.7500  12 Ga 3.28-3.44

The value obtained for the magnetic moment is 0.00 μB per formula unit.

DFT (PBE-GGA) results for crystalline PmGaPt2 at its relaxed geometry.

Cell lengths 7.4781, 7.1734, 5.7384 Å; angles 90.00, 90.00, 90.00 degrees
Closest atoms and distances in Å follow each position.
Atoms (fractional coordinates):
Ga  0.1181  0.7500  0.1432  6 Pt 2.58-2.68
Ga  0.6181  0.7500  0.3568  6 Pt 2.58-2.68
Ga  0.3819  0.2500  0.6432  6 Pt 2.58-2.68
Ga  0.8819  0.2500  0.8568  6 Pt 2.58-2.68
Pm  0.5284  0.2500  0.1441  3 Ga 3.07-3.12, 8 Pt 3.08-3.23
Pm  0.0284  0.2500  0.3559  3 Ga 3.07-3.12, 8 Pt 3.08-3.23
Pm  0.9716  0.7500  0.6441  3 Ga 3.07-3.12, 8 Pt 3.08-3.23
Pm  0.4716  0.7500  0.8559  3 Ga 3.07-3.12, 8 Pt 3.08-3.23
Pt  0.8177  0.5525  0.0858  3 Ga 2.58-2.68, 1 Pt 2.83
Pt  0.8177  0.9475  0.0858  3 Ga 2.58-2.68, 1 Pt 2.83
Pt  0.3177  0.5525  0.4142  3 Ga 2.58-2.68, 1 Pt 2.83
Pt  0.3177  0.9475  0.4142  3 Ga 2.58-2.68, 1 Pt 2.83
Pt  0.6823  0.0525  0.5858  3 Ga 2.58-2.68, 1 Pt 2.83
Pt  0.6823  0.4475  0.5858  3 Ga 2.58-2.68, 1 Pt 2.83
Pt  0.1823  0.0525  0.9142  3 Ga 2.58-2.68, 1 Pt 2.83
Pt  0.1823  0.4475  0.9142  3 Ga 2.58-2.68, 1 Pt 2.83

The value obtained for the magnetic moment is 0.00 μB per formula unit.

DFT (PBE-GGA) results for crystalline PmGa6Pt at its relaxed geometry.

Cell lengths 4.3457, 4.3457, 8.0985 Å; angles 90.00, 90.00, 90.00 degrees
Closest atoms and distances in Å follow each position.
Atoms (fractional coordinates):
Ga  0.5000  0.5000  0.1484  5 Ga 2.40-2.61
Ga  0.5000  0.0000  0.3268  2 Pt 2.59, 3 Ga 2.61-2.81
Ga  0.0000  0.5000  0.3268  2 Pt 2.59, 3 Ga 2.61-2.81
Ga  0.5000  0.0000  0.6732  2 Pt 2.59, 3 Ga 2.61-2.81
Ga  0.0000  0.5000  0.6732  2 Pt 2.59, 3 Ga 2.61-2.81
Ga  0.5000  0.5000  0.8516  5 Ga 2.40-2.61
Pm  0.0000  0.0000  0.0000  16 Ga 3.30-3.42
Pt  0.0000  0.0000  0.5000  8 Ga 2.59

The value obtained for the magnetic moment is 0.01 μB per formula unit.

DFT (PBE-GGA) results for crystalline PmGaPt at its relaxed geometry.

Cell lengths 4.7688, 4.7688, 4.7688 Å; angles 60.00, 60.00, 60.00 degrees
Closest atoms and distances in Å follow each position.
Atoms (fractional coordinates):
Ga  0.2500  0.2500  0.2500  4 Pm 2.92
Pm  0.0000  0.0000  0.0000  4 Ga 2.92, 4 Pt 2.92
Pt  0.7500  0.7500  0.7500  4 Pm 2.92

The polymorph energy (0 for the lowest one) comes out at 0.790 eV per atom. The value obtained for the magnetic moment is 0.00 μB per formula unit.

DFT (PBE-GGA) results for crystalline PmGa2Pt2 at its relaxed geometry.

Cell lengths 4.2070, 4.2070, 10.8328 Å; angles 90.00, 90.00, 90.00 degrees
Closest atoms and distances in Å follow each position.
Atoms (fractional coordinates):
Ga  0.5000  0.0000  0.1339  5 Pt 2.48-2.56
Ga  0.0000  0.0000  0.5000  4 Pt 2.58
Ga  0.5000  0.5000  0.5000  4 Pt 2.58
Ga  0.0000  0.5000  0.8661  5 Pt 2.48-2.56
Pm  0.0000  0.5000  0.2536  8 Pt 3.20-3.46, 8 Ga 3.25-3.40
Pm  0.5000  0.0000  0.7464  8 Pt 3.20-3.46, 8 Ga 3.25-3.40
Pt  0.0000  0.0000  0.0000  4 Ga 2.56
Pt  0.5000  0.5000  0.0000  4 Ga 2.56
Pt  0.5000  0.0000  0.3627  5 Ga 2.48-2.58
Pt  0.0000  0.5000  0.6373  5 Ga 2.48-2.58

The value obtained for the magnetic moment is 0.01 μB per formula unit.

DFT (PBE-GGA) results for crystalline PmGaPt at its relaxed geometry.

Cell lengths 7.0995, 4.4883, 7.7996 Å; angles 90.00, 90.00, 90.00 degrees
Closest atoms and distances in Å follow each position.
Atoms (fractional coordinates):
Ga  0.8308  0.7500  0.0756  4 Pt 2.64-2.77
Ga  0.3308  0.7500  0.4244  4 Pt 2.64-2.77
Ga  0.6692  0.2500  0.5756  4 Pt 2.64-2.77
Ga  0.1692  0.2500  0.9244  4 Pt 2.64-2.77
Pm  0.5169  0.2500  0.1980  5 Pt 2.96-3.17, 6 Ga 3.14-3.30
Pm  0.0169  0.2500  0.3020  5 Pt 2.96-3.17, 6 Ga 3.14-3.30
Pm  0.9831  0.7500  0.6980  5 Pt 2.96-3.17, 6 Ga 3.14-3.30
Pm  0.4831  0.7500  0.8020  5 Pt 2.96-3.17, 6 Ga 3.14-3.30
Pt  0.2207  0.7500  0.0972  4 Ga 2.64-2.77
Pt  0.7207  0.7500  0.4028  4 Ga 2.64-2.77
Pt  0.2793  0.2500  0.5972  4 Ga 2.64-2.77
Pt  0.7793  0.2500  0.9028  4 Ga 2.64-2.77

The polymorph energy (0 for the lowest one) comes out at 0.000 eV per atom. The value obtained for the magnetic moment is 0.00 μB per formula unit.

Raw total energy for every record listed, in sequence, given in eV/f.u.: -10.53 -16.11 -16.71 -11.70 -39.61 -26.21 -153.42 -11.64 -12.54 -25.38 -8.93 -6.88 -30.86 -12.73 -21.91 -23.99 -33.11 -14.63 -27.73 -17.00.